Record 1
An optimized crystal structure of TlVSn2, computed with PBE.

Unit cell a=3.260 b=3.260 c=10.532 alpha=81.10 beta=81.10 gamma=60.00
Last column: magnetic moment on the atom in μB.
Fractional positions:
V  0.500  0.500  0.500  1.21
Tl  0.000  0.000  0.000  -0.02
Sn  0.901  0.901  0.297  -0.01
Sn  0.099  0.099  0.703  -0.01

Values from the calculation:
**V**: 95.35 Å³/f.u.
**Space-group type**: No. 166
**Polymorph energy (0 for the lowest one)**: 0.000 eV per atom
**Energy relative to the elements**: 0.224 eV per atom

Record 2
An optimized crystal structure of TlVSn2, computed with PBE.

Unit cell a=4.369 b=4.369 c=10.971 alpha=78.52 beta=78.52 gamma=90.00
Last column: magnetic moment on the atom in μB.
Fractional positions:
Sn  0.137  0.625  0.250  -0.04
Tl  0.750  0.250  0.500  -0.01
Sn  0.375  0.387  0.750  -0.04
V  0.250  0.750  0.500  2.52
Sn  0.875  0.863  0.750  -0.04
V  0.500  0.500  0.000  2.52
Tl  0.000  0.000  0.000  -0.01
Sn  0.613  0.125  0.250  -0.04

Values from the calculation:
**V**: 100.47 Å³/f.u.
**Space-group type**: No. 122
**Polymorph energy (0 for the lowest one)**: 0.235 eV per atom
**Energy relative to the elements**: 0.459 eV per atom

Record 3
An optimized crystal structure of TlV2Sn2, computed with PBE.

Unit cell a=7.322 b=7.322 c=3.732 alpha=90.00 beta=90.00 gamma=90.00
Fractional positions:
Sn  0.168  0.668  0.500
V  0.880  0.620  0.000
V  0.380  0.880  0.000
Sn  0.668  0.832  0.500
V  0.120  0.380  0.000
Sn  0.332  0.168  0.500
V  0.620  0.120  0.000
Tl  0.000  0.000  0.000
Tl  0.500  0.500  0.000
Sn  0.832  0.332  0.500

Values from the calculation:
**V**: 100.04 Å³/f.u.
**Space-group type**: No. 127
**Energy relative to the elements**: 0.239 eV per atom

Record 4
An optimized crystal structure of TlVSn3, computed with PBE.

Unit cell a=5.207 b=5.207 c=5.207 alpha=90.00 beta=90.00 gamma=90.00
Last column: magnetic moment on the atom in μB.
Fractional positions:
Tl  0.500  0.500  0.500  -0.01
Sn  0.500  0.000  0.000  -0.02
V  0.000  0.000  0.000  0.31
Sn  0.000  0.500  0.000  -0.02
Sn  0.000  0.000  0.500  -0.02

Values from the calculation:
**V**: 141.21 Å³/f.u.
**Space-group type**: No. 221
**Polymorph energy (0 for the lowest one)**: 0.000 eV per atom
**Energy relative to the elements**: 0.129 eV per atom

Record 5
An optimized crystal structure of TlVSn2, computed with PBE.

Unit cell a=5.191 b=5.191 c=5.191 alpha=60.00 beta=60.00 gamma=60.00
Last column: magnetic moment on the atom in μB.
Fractional positions:
V  0.000  0.000  0.000  2.79
Sn  0.750  0.750  0.750  0.01
Sn  0.250  0.250  0.250  0.01
Tl  0.500  0.500  0.500  0.01

Values from the calculation:
**V**: 98.89 Å³/f.u.
**Space-group type**: No. 225
**Polymorph energy (0 for the lowest one)**: 0.205 eV per atom
**Energy relative to the elements**: 0.429 eV per atom

Record 6
An optimized crystal structure of Tl3SnW, computed with PBE.

Unit cell a=5.759 b=5.759 c=5.759 alpha=90.00 beta=90.00 gamma=90.00
Last column: magnetic moment on the atom in μB.
Fractional positions:
Tl  0.000  0.000  0.500  0.00
Sn  0.000  0.000  0.000  -0.01
Tl  0.000  0.500  0.000  -0.03
W  0.500  0.500  0.500  3.41
Tl  0.500  0.000  0.000  -0.01

Values from the calculation:
**V**: 191.02 Å³/f.u.
**Space-group type**: No. 221
**Polymorph energy (0 for the lowest one)**: 0.696 eV per atom
**Energy relative to the elements**: 1.596 eV per atom

Record 7
An optimized crystal structure of TlSn2W, computed with PBE.

Unit cell a=5.086 b=5.086 c=5.086 alpha=60.00 beta=60.00 gamma=60.00
Last column: magnetic moment on the atom in μB.
Fractional positions:
Tl  0.500  0.500  0.500  0.00
W  0.000  0.000  0.000  0.83
Sn  0.250  0.250  0.250  -0.02
Sn  0.750  0.750  0.750  -0.02

Values from the calculation:
**V**: 93.04 Å³/f.u.
**Space-group type**: No. 225
**Polymorph energy (0 for the lowest one)**: 0.000 eV per atom
**Energy relative to the elements**: 0.918 eV per atom

Record 8
An optimized crystal structure of TlSn2W, computed with PBE.

Unit cell a=4.211 b=4.211 c=11.010 alpha=78.98 beta=78.98 gamma=90.00
Fractional positions:
W  0.250  0.750  0.500
Tl  0.000  0.000  0.000
W  0.500  0.500  0.000
Sn  0.875  0.867  0.750
Tl  0.750  0.250  0.500
Sn  0.133  0.625  0.250
Sn  0.617  0.125  0.250
Sn  0.375  0.383  0.750

Values from the calculation:
**V**: 93.96 Å³/f.u.
**Space-group type**: No. 122
**Polymorph energy (0 for the lowest one)**: 0.010 eV per atom
**Energy relative to the elements**: 0.928 eV per atom

Record 9
An optimized crystal structure of Tl3SnW, computed with PBE.

Unit cell a=5.415 b=5.415 c=5.415 alpha=90.00 beta=90.00 gamma=90.00
Fractional positions:
Sn  0.500  0.500  0.500
Tl  0.500  0.000  0.000
Tl  0.000  0.000  0.500
Tl  0.000  0.500  0.000
W  0.000  0.000  0.000

Values from the calculation:
**V**: 158.79 Å³/f.u.
**Space-group type**: No. 221
**Polymorph energy (0 for the lowest one)**: 0.000 eV per atom
**Energy relative to the elements**: 0.900 eV per atom

Record 10
An optimized crystal structure of Tl2SnW, computed with PBE.

Unit cell a=4.161 b=4.161 c=11.543 alpha=79.62 beta=79.62 gamma=90.00
Fractional positions:
W  0.000  0.000  0.000
W  0.750  0.250  0.500
Tl  0.635  0.125  0.250
Sn  0.250  0.750  0.500
Sn  0.500  0.500  0.000
Tl  0.115  0.625  0.250
Tl  0.375  0.365  0.750
Tl  0.875  0.885  0.750

Values from the calculation:
**V**: 96.63 Å³/f.u.
**Space-group type**: No. 122
**Polymorph energy (0 for the lowest one)**: 0.000 eV per atom
**Energy relative to the elements**: 1.003 eV per atom

Record 11
An optimized crystal structure of Tl2SnW, computed with PBE.

Unit cell a=5.188 b=5.188 c=5.188 alpha=60.00 beta=60.00 gamma=60.00
Last column: magnetic moment on the atom in μB.
Fractional positions:
Sn  0.000  0.000  0.000  -0.03
W  0.500  0.500  0.500  2.30
Tl  0.250  0.250  0.250  0.02
Tl  0.750  0.750  0.750  0.02

Values from the calculation:
**V**: 98.72 Å³/f.u.
**Space-group type**: No. 225
**Polymorph energy (0 for the lowest one)**: 0.158 eV per atom
**Energy relative to the elements**: 1.161 eV per atom

Record 12
An optimized crystal structure of TlSnW3, computed with PBE.

Unit cell a=4.935 b=4.935 c=4.935 alpha=90.00 beta=90.00 gamma=90.00
Fractional positions:
W  0.000  0.500  0.000
Sn  0.000  0.000  0.000
W  0.500  0.000  0.000
W  0.000  0.000  0.500
Tl  0.500  0.500  0.500

Values from the calculation:
**V**: 120.18 Å³/f.u.
**Space-group type**: No. 221
**Polymorph energy (0 for the lowest one)**: 0.000 eV per atom
**Energy relative to the elements**: 2.653 eV per atom

Record 13
An optimized crystal structure of YTlSn4, computed with PBE.

Unit cell a=6.225 b=6.225 c=6.225 alpha=60.00 beta=60.00 gamma=60.00
Fractional positions:
Tl  0.250  0.250  0.250
Y  0.000  0.000  0.000
Sn  0.625  0.625  0.124
Sn  0.625  0.625  0.625
Sn  0.625  0.124  0.625
Sn  0.124  0.625  0.625

Values from the calculation:
**V**: 170.60 Å³/f.u.
**Space-group type**: No. 216
**Energy relative to the elements**: -0.137 eV per atom